## TiPSeBr2 (PBE)

Data for TiPSeBr2 after structural relaxation.

Theoretical density, Mg/m³: 4.22
E_tot, Ry/atom: -0.260
Formation energy without anion corrections, meV/atom: 492
Energy above the lowest structure with this stoichiometry, eV/f.u.: 2.428

Lattice parameters (Å, degrees): 4.939 4.939 5.128 90.00 90.00 90.00
Fractional coordinates of all 5 atoms:
Ti: 0.000 0.000 0.000
P: 0.500 0.500 0.500
Se: 0.500 0.500 0.000
Br: 0.000 0.500 0.500
Br: 0.500 0.000 0.500